(1)
## Nd6SnIr2I3 (PBE)

Data for Nd6SnIr2I3 after structural relaxation.

Calculated values
- Density of states at the Fermi level: 16.642 states/eV per cell
- Final energy: -5.4847 eV per atom
- Total magnetic moment: 0.0 μB per cell
- Uncorrected formation energy: -10.83 eV/f.u.

Structure (CIF):
```
data_Nd6SnIr2I3
_chemical_formula_sum 'Nd12 Sn2 Ir4 I6'
_cell_length_a 7.524
_cell_length_b 12.985
_cell_length_c 8.442
_cell_angle_alpha 90.00
_cell_angle_beta 107.34
_cell_angle_gamma 90.00
_space_group_name_H-M_alt 'C 1 2/m 1'
_space_group_IT_number 12
_space_group_name_Hall '-C 2y'
loop_
_atom_site_label
_atom_site_fract_x
_atom_site_fract_y
_atom_site_fract_z
Nd1 0.201 0.000 0.192
Nd2 0.247 0.319 0.194
Sn1 0.000 0.500 0.000
Ir1 0.000 0.167 0.000
I1 0.000 0.000 0.500
I2 0.000 0.340 0.500
```


(2)
## AcAlZnGa2 (PBE)

Data for AcAlZnGa2 after structural relaxation.

Calculated values
- ΔE_f: -0.47 eV per atom
- Density of states at the Fermi level: 3.270 states/eV per cell
- Final energy: -3.5043 eV per atom
- Total magnetic moment: 0.0 μB per cell

Structure (CIF):
```
data_AcAlZnGa2
_chemical_formula_sum 'Ac2 Al2 Zn2 Ga4'
_cell_length_a 4.447
_cell_length_b 4.447
_cell_length_c 10.837
_cell_angle_alpha 90.00
_cell_angle_beta 90.00
_cell_angle_gamma 90.00
_space_group_name_H-M_alt 'I -4 m 2'
_space_group_IT_number 119
_space_group_name_Hall 'I -4 -2'
loop_
_atom_site_label
_atom_site_fract_x
_atom_site_fract_y
_atom_site_fract_z
Ac1 0.000 0.000 0.000
Al1 0.000 0.500 0.250
Zn1 0.000 0.500 0.750
Ga1 0.000 0.000 0.381
```


(3)
## Be2GaGe (PBE)

Data for Be2GaGe after structural relaxation.

Calculated values
- ΔE_f: 0.30 eV per atom
- Density of states at the Fermi level: 4.027 states/eV per cell
- Final energy: -3.4721 eV per atom
- Total magnetic moment: 0.0 μB per cell
- Offset from the most stable computed form: 0 kJ/mol of formula units

Structure (CIF):
```
data_Be2GaGe
_chemical_formula_sum 'Be8 Ga4 Ge4'
_cell_length_a 3.921
_cell_length_b 3.921
_cell_length_c 14.951
_cell_angle_alpha 90.00
_cell_angle_beta 90.00
_cell_angle_gamma 90.00
_space_group_name_H-M_alt 'I -4 2 d'
_space_group_IT_number 122
_space_group_name_Hall 'I -4 2bw'
loop_
_atom_site_label
_atom_site_fract_x
_atom_site_fract_y
_atom_site_fract_z
Be1 0.239 0.250 0.125
Ga1 0.000 0.000 0.000
Ge1 0.000 0.000 0.500
```


(4)
## LiCuPtAu (PBE)

Data for LiCuPtAu after structural relaxation.

Calculated values
- ΔE_f: -0.35 eV per atom
- Density of states at the Fermi level: 1.041 states/eV per cell
- Final energy: -4.1854 eV per atom
- Total magnetic moment: 0.0 μB per cell
- Offset from the most stable computed form: 0 kJ/mol of formula units

Structure (CIF):
```
data_LiCuPtAu
_chemical_formula_sum 'Li1 Cu1 Pt1 Au1'
_cell_length_a 3.535
_cell_length_b 3.972
_cell_length_c 4.084
_cell_angle_alpha 90.00
_cell_angle_beta 90.00
_cell_angle_gamma 90.00
_space_group_name_H-M_alt 'P m m m'
_space_group_IT_number 47
_space_group_name_Hall '-P 2 2'
loop_
_atom_site_label
_atom_site_fract_x
_atom_site_fract_y
_atom_site_fract_z
Li1 0.000 0.000 0.000
Cu1 0.000 0.500 0.500
Pt1 0.500 0.000 0.500
Au1 0.500 0.500 0.000
```


> Which formula does entry 1 have?

Nd6SnIr2I3


> Which value of final energy does entry 3 give?

-3.4721 eV per atom


> total magnetic moment of number 2 (AcAlZnGa2)?

0.0 μB per cell